{"formula": "Cs2KAlBi2", "functional": "PBE", "state": "relaxed", "volume_a3_per_atom": 45.65, "delta_e_f_ev_per_atom": -0.36, "magmom_total_mub_per_cell": 0.00, "dos_ef_per_ev_fu": 0.32, "lattice_angstrom": [[-2.326, -6.597, -4.796], [-0.036, -4.463, 6.155], [-6.988, 7.438, 0.657]], "species": ["Cs", "Bi", "Cs", "Al", "Cs", "Bi", "K", "Al", "K", "Bi", "Cs", "Bi"], "fractional_positions": [[0.101, 0.329, 0.658], [0.401, 0.588, 0.175], [0.558, 0.829, 0.658], [0.500, 0.250, 0.000], [0.899, 0.671, 0.342], [0.775, 0.088, 0.175], [0.000, 0.250, 0.000], [0.500, 0.750, 0.000], [0.000, 0.750, 0.000], [0.599, 0.412, 0.825], [0.442, 0.171, 0.342], [0.225, 0.912, 0.825]]}



{"formula": "CsLaAl2Bi", "functional": "PBE", "state": "relaxed", "volume_a3_per_atom": 37.85, "delta_e_f_ev_per_atom": 1.30, "magmom_total_mub_per_cell": 0.00, "dos_ef_per_ev_fu": 5.50, "lattice_angstrom": [[5.652, 0.000, 0.000], [0.000, 5.925, 0.000], [0.000, 0.000, 5.652]], "species": ["La", "Cs", "Al", "Bi", "Al"], "fractional_positions": [[0.000, 0.500, 0.000], [0.000, 0.000, 0.000], [0.500, 0.000, 0.000], [0.500, 0.500, 0.500], [0.000, 0.000, 0.500]]}



{"formula": "Cs2LiAlBi2", "functional": "PBE", "state": "relaxed", "volume_a3_per_atom": 38.46, "delta_e_f_ev_per_atom": -0.40, "magmom_total_mub_per_cell": 0.00, "lattice_angstrom": [[-0.491, 2.212, -6.839], [3.828, -5.678, -2.112], [-9.200, -2.979, 3.493]], "species": ["Cs", "Al", "Bi", "Cs", "Bi", "Al", "Li", "Bi", "Cs", "Li", "Bi", "Cs"], "fractional_positions": [[0.402, 0.167, 0.335], [0.500, 0.250, 0.000], [0.188, 0.914, 0.829], [0.598, 0.833, 0.665], [0.812, 0.086, 0.171], [0.500, 0.750, 0.000], [0.000, 0.750, 0.000], [0.641, 0.414, 0.829], [0.068, 0.333, 0.665], [0.000, 0.250, 0.000], [0.359, 0.586, 0.171], [0.932, 0.667, 0.335]]}



{"formula": "Cs2Al2BiO6", "functional": "PBE", "state": "relaxed", "volume_a3_per_atom": 19.29, "e_form_raw_ev_per_atom": -1.841, "magmom_total_mub_per_cell": 0.00, "dos_ef_per_ev_fu": 2.54, "lattice_angstrom": [[-1.515, 5.133, -2.878], [-5.716, 2.048, 0.245], [-0.927, 5.883, 4.566]], "species": ["O", "Cs", "O", "O", "O", "Bi", "Cs", "O", "Al", "Al", "O"], "fractional_positions": [[0.728, 0.239, 0.793], [0.794, 0.794, 0.618], [0.239, 0.239, 0.793], [0.761, 0.272, 0.207], [0.272, 0.761, 0.207], [0.000, 0.000, 0.000], [0.206, 0.206, 0.382], [0.761, 0.761, 0.207], [0.396, 0.396, 0.811], [0.604, 0.604, 0.189], [0.239, 0.728, 0.793]]}



{"formula": "Cs2AlBiO4", "functional": "PBE", "state": "relaxed", "volume_a3_per_atom": 27.23, "e_form_raw_ev_per_atom": -1.637, "magmom_total_mub_per_cell": 0.00, "dos_ef_per_ev_fu": 0.00, "lattice_angstrom": [[5.726, 0.000, 0.000], [2.863, 6.465, 0.000], [2.863, 0.000, 11.767]], "species": ["O", "O", "O", "Al", "Cs", "O", "O", "O", "Bi", "Cs", "Cs", "O", "Al", "O", "Bi", "Cs"], "fractional_positions": [[0.261, 0.166, 0.921], [0.573, 0.166, 0.079], [0.932, 0.666, 0.579], [0.250, 0.500, 0.500], [0.929, 0.500, 0.141], [0.818, 0.834, 0.921], [0.402, 0.666, 0.421], [0.348, 0.834, 0.079], [0.000, 0.000, 0.000], [0.571, 0.500, 0.859], [0.179, 0.000, 0.641], [0.489, 0.334, 0.579], [0.500, 0.000, 0.000], [0.177, 0.334, 0.421], [0.750, 0.500, 0.500], [0.821, 0.000, 0.359]]}



{"formula": "Cs2RbAlBi2", "functional": "PBE", "state": "relaxed", "volume_a3_per_atom": 48.00, "delta_e_f_ev_per_atom": -0.34, "magmom_total_mub_per_cell": 0.00, "dos_ef_per_ev_fu": 1.06, "lattice_angstrom": [[-1.528, -7.896, 4.060], [-0.389, -3.435, -6.827], [9.181, 4.210, 1.647]], "species": ["Bi", "Rb", "Al", "Bi", "Al", "Cs", "Rb", "Cs", "Cs", "Bi", "Bi", "Cs"], "fractional_positions": [[0.234, 0.914, 0.828], [0.000, 0.250, 0.000], [0.500, 0.250, 0.000], [0.766, 0.086, 0.172], [0.500, 0.750, 0.000], [0.465, 0.173, 0.346], [0.000, 0.750, 0.000], [0.119, 0.327, 0.654], [0.535, 0.827, 0.654], [0.407, 0.586, 0.172], [0.593, 0.414, 0.828], [0.881, 0.673, 0.346]]}



Copy entry 3 word for word.
{"formula": "Cs2LiAlBi2", "functional": "PBE", "state": "relaxed", "volume_a3_per_atom": 38.46, "delta_e_f_ev_per_atom": -0.40, "magmom_total_mub_per_cell": 0.00, "lattice_angstrom": [[-0.491, 2.212, -6.839], [3.828, -5.678, -2.112], [-9.200, -2.979, 3.493]], "species": ["Cs", "Al", "Bi", "Cs", "Bi", "Al", "Li", "Bi", "Cs", "Li", "Bi", "Cs"], "fractional_positions": [[0.402, 0.167, 0.335], [0.500, 0.250, 0.000], [0.188, 0.914, 0.829], [0.598, 0.833, 0.665], [0.812, 0.086, 0.171], [0.500, 0.750, 0.000], [0.000, 0.750, 0.000], [0.641, 0.414, 0.829], [0.068, 0.333, 0.665], [0.000, 0.250, 0.000], [0.359, 0.586, 0.171], [0.932, 0.667, 0.335]]}